No. 1
Computed, not measured: a relaxed Sr4CrSi crystal at the GGA-PBE level of DFT.

a b c (Å): 6.913 6.913 6.913
angles (deg): 60.00 60.00 60.00
Element x y z (fractional)
Cr 0.750 0.750 0.750
Sr 0.877 0.374 0.374
Si 0.000 0.000 0.000
Sr 0.374 0.374 0.374
Sr 0.374 0.877 0.374
Sr 0.374 0.374 0.877

Values from the calculation:
M_tot, μB per atom: 0.69
E_tot, eV per atom: -2.697

***

No. 2
Computed, not measured: a relaxed FeTcW crystal at the GGA-PBE level of DFT.

a b c (Å): 4.744 4.763 8.823
angles (deg): 82.31 74.40 60.13
Element x y z (fractional)
Fe 0.124 0.000 0.752
Fe 0.874 0.500 0.252
W 0.329 0.500 0.342
Tc 0.830 0.340 0.000
W 0.171 0.500 0.658
W 0.579 0.000 0.842
W 0.421 0.000 0.158
Fe 0.876 0.000 0.248
Tc 0.920 0.160 0.500
Tc 0.580 0.840 0.500
Tc 0.170 0.660 0.000
Fe 0.626 0.500 0.748

Values from the calculation:
Energy relative to the elements, eV/f.u.: 0.2
Distance to the lowest polymorph of the same formula, eV per formula unit: 0.000
M_tot, μB per atom: 0.00

***

No. 3
Computed, not measured: a relaxed K3TmPu2Se6 crystal at the GGA-PBE level of DFT.

a b c (Å): 7.353 7.353 8.035
angles (deg): 98.77 98.77 120.00
Element x y z (fractional)
Pu 0.333 0.667 0.000
Se 0.068 0.396 0.204
Pu 0.667 0.333 0.000
Se 0.932 0.604 0.796
Tm 0.000 0.000 0.000
Se 0.604 0.932 0.796
K 0.833 0.167 0.500
Se 0.396 0.068 0.204
K 0.167 0.833 0.500
Se 0.260 0.260 0.796
K 0.500 0.500 0.500
Se 0.740 0.740 0.204

Values from the calculation:
M_tot, μB per atom: 0.83
E_tot, eV per atom: -6.329

***

No. 4
Computed, not measured: a relaxed SiTe3Pt crystal at the GGA-PBE level of DFT.

a b c (Å): 5.138 5.138 5.138
angles (deg): 90.00 90.00 90.00
Element x y z (fractional)
Te 0.000 0.000 0.500
Te 0.500 0.000 0.000
Si 0.000 0.000 0.000
Pt 0.500 0.500 0.500
Te 0.000 0.500 0.000

Values from the calculation:
Distance to the lowest polymorph of the same formula, eV per formula unit: 1.368
M_tot, μB per atom: 0.00

***

No. 5
Computed, not measured: a relaxed Li4PmGe crystal at the GGA-PBE level of DFT.

a b c (Å): 5.417 5.417 5.417
angles (deg): 60.00 60.00 60.00
Element x y z (fractional)
Pm 0.250 0.250 0.250
Li 0.626 0.626 0.121
Li 0.626 0.121 0.626
Li 0.626 0.626 0.626
Ge 0.000 0.000 0.000
Li 0.121 0.626 0.626

Values from the calculation:
Energy relative to the elements, eV/f.u.: -0.4
M_tot, μB per atom: 0.00

***

No. 6
Computed, not measured: a relaxed CaTa2Cd crystal at the GGA-PBE level of DFT.

a b c (Å): 5.820 5.820 5.820
angles (deg): 138.50 138.50 60.13
Element x y z (fractional)
Cd 0.750 0.250 0.500
Ca 0.250 0.750 0.500
Ta 0.000 0.000 0.000
Ta 0.500 0.500 0.000

Values from the calculation:
Energy relative to the elements, eV/f.u.: 2.4
M_tot, μB per atom: 0.00

***

No. 7
Computed, not measured: a relaxed Hf2AlIn crystal at the GGA-PBE level of DFT.

a b c (Å): 3.131 3.131 10.123
angles (deg): 81.10 81.10 60.00
Element x y z (fractional)
In 0.500 0.500 0.500
Al 0.000 0.000 0.000
Hf 0.747 0.747 0.759
Hf 0.253 0.253 0.241

Values from the calculation:
Energy relative to the elements, eV/f.u.: -0.3
Distance to the lowest polymorph of the same formula, eV per formula unit: 0.736
M_tot, μB per atom: 0.00

***

No. 8
Computed, not measured: a relaxed Si2HOs crystal at the GGA-PBE level of DFT.

a b c (Å): 4.073 4.073 4.073
angles (deg): 60.00 60.00 60.00
Element x y z (fractional)
H 0.000 0.000 0.000
Si 0.750 0.750 0.750
Si 0.250 0.250 0.250
Os 0.500 0.500 0.500

Values from the calculation:
Distance to the lowest polymorph of the same formula, eV per formula unit: 0.000
M_tot, μB per atom: 0.12

***

No. 9
Computed, not measured: a relaxed KMo2WN crystal at the GGA-PBE level of DFT.

a b c (Å): 4.772 3.815 4.772
angles (deg): 90.00 90.00 90.00
Element x y z (fractional)
N 0.000 0.500 0.000
Mo 0.500 0.000 0.000
Mo 0.000 0.000 0.500
W 0.500 0.500 0.500
K 0.000 0.000 0.000

Values from the calculation:
M_tot, μB per atom: 0.34
E_tot, eV per atom: -5.263

***

No. 10
Computed, not measured: a relaxed RbNbCl3 crystal at the GGA-PBE level of DFT.

a b c (Å): 3.662 8.975 8.699
angles (deg): 106.59 90.00 90.00
Element x y z (fractional)
Cl 0.195 0.746 0.578
Rb 0.695 0.101 0.480
Cl 0.695 0.675 0.976
Cl 0.196 0.386 0.718
Cl 0.195 0.989 0.167
Rb 0.195 0.321 0.074
Cl 0.696 0.432 0.387
Cl 0.695 0.036 0.836
Nb 0.195 0.817 0.872
Nb 0.695 0.605 0.682

Values from the calculation:
M_tot, μB per atom: 0.00
E_tot, eV per atom: -4.650

***

No. 11
Computed, not measured: a relaxed Sr4PSe crystal at the GGA-PBE level of DFT.

a b c (Å): 6.620 6.620 6.620
angles (deg): 60.00 60.00 60.00
Element x y z (fractional)
Se 0.000 0.000 0.000
Sr 0.375 0.375 0.874
Sr 0.375 0.874 0.375
Sr 0.874 0.375 0.375
Sr 0.375 0.375 0.375
P 0.750 0.750 0.750

Values from the calculation:
M_tot, μB per atom: 0.00
E_tot, eV per atom: -2.417

***

No. 12
Computed, not measured: a relaxed GaHg2Rh2 crystal at the GGA-PBE level of DFT.

a b c (Å): 3.942 3.942 7.024
angles (deg): 73.70 73.70 90.00
Element x y z (fractional)
Ga 0.000 0.000 0.000
Rh 0.404 0.404 0.191
Rh 0.596 0.596 0.809
Hg 0.250 0.750 0.500
Hg 0.750 0.250 0.500

Values from the calculation:
Energy relative to the elements, eV/f.u.: 2.1
Distance to the lowest polymorph of the same formula, eV per formula unit: 2.934
M_tot, μB per atom: 0.00

***

No. 13
Computed, not measured: a relaxed Sc2TlI crystal at the GGA-PBE level of DFT.

a b c (Å): 5.196 5.196 5.196
angles (deg): 60.00 60.00 60.00
Element x y z (fractional)
I 0.000 0.000 0.000
Sc 0.250 0.250 0.250
Tl 0.500 0.500 0.500
Sc 0.750 0.750 0.750

Values from the calculation:
Distance to the lowest polymorph of the same formula, eV per formula unit: 0.000
M_tot, μB per atom: 0.00

***

No. 14
Computed, not measured: a relaxed Hf5RePd4 crystal at the GGA-PBE level of DFT.

a b c (Å): 3.316 3.316 16.579
angles (deg): 90.00 90.00 90.00
Element x y z (fractional)
Re 0.000 0.000 0.000
Pd 0.000 0.000 0.603
Pd 0.000 0.000 0.801
Hf 0.500 0.500 0.700
Pd 0.000 0.000 0.397
Hf 0.500 0.500 0.905
Pd 0.000 0.000 0.199
Hf 0.500 0.500 0.095
Hf 0.500 0.500 0.500
Hf 0.500 0.500 0.300

Values from the calculation:
Energy relative to the elements, eV/f.u.: -6.1
M_tot, μB per atom: 0.00

***

No. 15
Computed, not measured: a relaxed TaPt2Au crystal at the GGA-PBE level of DFT.

a b c (Å): 4.881 4.881 5.038
angles (deg): 80.23 80.23 34.29
Element x y z (fractional)
Pt 0.495 0.495 0.510
Pt 0.005 0.005 0.990
Au 0.250 0.250 0.250
Ta 0.750 0.750 0.750

Values from the calculation:
Energy relative to the elements, eV/f.u.: -1.3
Distance to the lowest polymorph of the same formula, eV per formula unit: 0.569
M_tot, μB per atom: 0.00

***

No. 16
Computed, not measured: a relaxed ZrHPb2 crystal at the GGA-PBE level of DFT.

a b c (Å): 5.056 5.056 5.056
angles (deg): 60.00 60.00 60.00
Element x y z (fractional)
Pb 0.750 0.750 0.750
Pb 0.250 0.250 0.250
H 0.000 0.000 0.000
Zr 0.500 0.500 0.500

Values from the calculation:
Distance to the lowest polymorph of the same formula, eV per formula unit: 1.630
M_tot, μB per atom: 0.14

***

No. 17
Computed, not measured: a relaxed MgIn2Bi crystal at the GGA-PBE level of DFT.

a b c (Å): 5.427 5.427 5.427
angles (deg): 60.00 60.00 60.00
Element x y z (fractional)
Mg 0.000 0.000 0.000
In 0.250 0.250 0.250
Bi 0.500 0.500 0.500
In 0.750 0.750 0.750

Values from the calculation:
Energy relative to the elements, eV/f.u.: 0.1
Distance to the lowest polymorph of the same formula, eV per formula unit: 0.265
M_tot, μB per atom: 0.00

***

No. 18
Computed, not measured: a relaxed PmDyGeIr crystal at the GGA-PBE level of DFT.

a b c (Å): 4.172 4.121 5.791
angles (deg): 90.00 111.11 90.00
Element x y z (fractional)
Dy 0.864 0.500 0.728
Pm 0.145 0.000 0.290
Ir 0.420 0.000 0.841
Ge 0.570 0.500 0.141

Values from the calculation:
Energy relative to the elements, eV/f.u.: -3.3
Distance to the lowest polymorph of the same formula, eV per formula unit: 0.000
M_tot, μB per atom: 0.00

***

No. 19
Computed, not measured: a relaxed Cs2ZnInBi2 crystal at the GGA-PBE level of DFT.

a b c (Å): 7.442 7.456 10.256
angles (deg): 111.32 111.27 90.00
Element x y z (fractional)
Cs 0.081 0.335 0.670
Cs 0.589 0.835 0.670
Cs 0.919 0.665 0.330
Bi 0.360 0.589 0.178
In 0.000 0.750 0.000
Bi 0.640 0.411 0.822
Cs 0.411 0.165 0.330
Zn 0.500 0.750 0.000
Bi 0.183 0.911 0.822
In 0.000 0.250 0.000
Zn 0.500 0.250 0.000
Bi 0.817 0.089 0.178

Values from the calculation:
Energy relative to the elements, eV/f.u.: -1.7
M_tot, μB per atom: 0.00

***

No. 20
Computed, not measured: a relaxed RbThCuCl6 crystal at the GGA-PBE level of DFT.

a b c (Å): 6.751 6.751 15.166
angles (deg): 90.00 90.00 120.00
Element x y z (fractional)
Cu 0.333 0.667 0.250
Rb 0.000 0.000 0.500
Cl 0.370 0.358 0.852
Cl 0.988 0.358 0.648
Cl 0.358 0.988 0.148
Cl 0.370 0.012 0.648
Cl 0.988 0.630 0.852
Cl 0.012 0.642 0.352
Cl 0.012 0.370 0.148
Rb 0.000 0.000 0.000
Th 0.333 0.667 0.750
Cl 0.630 0.642 0.148
Cu 0.667 0.333 0.750
Cl 0.630 0.988 0.352
Cl 0.642 0.630 0.648
Cl 0.358 0.370 0.352
Th 0.667 0.333 0.250
Cl 0.642 0.012 0.852

Values from the calculation:
M_tot, μB per atom: 0.01
E_tot, eV per atom: -4.338

***

No. 21
Computed, not measured: a relaxed Sn3HgTe3 crystal at the GGA-PBE level of DFT.

a b c (Å): 6.328 8.801 8.809
angles (deg): 91.43 90.00 90.00
Element x y z (fractional)
Te 0.250 0.867 0.618
Hg 0.250 0.375 0.624
Sn 0.750 0.870 0.625
Sn 0.750 0.376 0.131
Te 0.250 0.382 0.134
Te 0.250 0.871 0.129
Hg 0.750 0.625 0.376
Sn 0.250 0.130 0.375
Te 0.750 0.129 0.871
Sn 0.250 0.110 0.890
Sn 0.750 0.890 0.110
Te 0.750 0.133 0.382
Sn 0.250 0.624 0.869
Te 0.750 0.618 0.866

Values from the calculation:
Distance to the lowest polymorph of the same formula, eV per formula unit: 0.000
M_tot, μB per atom: 0.00

***

No. 22
Computed, not measured: a relaxed NpSi4Ni2 crystal at the GGA-PBE level of DFT.

a b c (Å): 3.922 6.213 16.823
angles (deg): 90.00 90.00 90.00
Element x y z (fractional)
Si 0.250 0.796 0.182
Si 0.750 0.974 0.067
Ni 0.750 0.263 0.468
Si 0.750 0.631 0.975
Np 0.750 0.018 0.640
Si 0.750 0.795 0.795
Ni 0.250 0.737 0.532
Si 0.750 0.526 0.567
Si 0.250 0.704 0.682
Si 0.250 0.131 0.525
Np 0.750 0.482 0.140
Ni 0.250 0.501 0.295
Np 0.250 0.518 0.860
Si 0.250 0.026 0.933
Si 0.250 0.369 0.025
Si 0.250 0.295 0.705
Ni 0.250 0.999 0.795
Np 0.250 0.982 0.360
Ni 0.750 0.237 0.968
Si 0.750 0.204 0.818
Ni 0.750 0.001 0.205
Si 0.750 0.705 0.295
Si 0.750 0.296 0.318
Ni 0.750 0.499 0.705
Si 0.250 0.474 0.433
Ni 0.250 0.763 0.032
Si 0.250 0.205 0.205
Si 0.750 0.869 0.475

Values from the calculation:
M_tot, μB per atom: 0.57
E_tot, eV per atom: -6.968

***

No. 23
Computed, not measured: a relaxed CdIn2Tc crystal at the GGA-PBE level of DFT.

a b c (Å): 5.196 2.981 5.147
angles (deg): 90.01 90.00 90.00
Element x y z (fractional)
In 0.000 0.875 0.023
Cd 0.500 0.875 0.720
Tc 0.000 0.375 0.520
In 0.500 0.374 0.238

Values from the calculation:
Energy relative to the elements, eV/f.u.: 1.3
M_tot, μB per atom: 0.00

***

No. 24
Computed, not measured: a relaxed Tb2Y2Sc crystal at the GGA-PBE level of DFT.

a b c (Å): 9.063 9.063 3.757
angles (deg): 90.00 90.00 90.00
Element x y z (fractional)
Tb 0.368 0.132 0.000
Y 0.168 0.332 0.500
Tb 0.132 0.632 0.000
Y 0.832 0.668 0.500
Sc 0.000 0.000 0.000
Y 0.332 0.832 0.500
Y 0.668 0.168 0.500
Tb 0.632 0.868 0.000
Tb 0.868 0.368 0.000
Sc 0.500 0.500 0.000

Values from the calculation:
Energy relative to the elements, eV/f.u.: 0.9
Distance to the lowest polymorph of the same formula, eV per formula unit: 0.779
M_tot, μB per atom: 0.00

***

No. 25
Computed, not measured: a relaxed AgP3N crystal at the GGA-PBE level of DFT.

a b c (Å): 4.749 4.749 4.749
angles (deg): 90.00 90.00 90.00
Element x y z (fractional)
N 0.500 0.500 0.500
P 0.000 0.000 0.500
Ag 0.000 0.000 0.000
P 0.500 0.000 0.000
P 0.000 0.500 0.000

Values from the calculation:
Distance to the lowest polymorph of the same formula, eV per formula unit: 7.399
M_tot, μB per atom: 0.00